This record from the Alexandria database describes a relaxed structure of CdNiW2. The functional is PBE-GGA.

```
data_CdNiW2
_chemical_formula_sum 'Cd2 Ni2 W4'
_space_group_name_H-M_alt 'I 4/m m m'
_space_group_IT_number 139
_space_group_name_Hall '-I 4 2'
_cell_length_a 3.770
_cell_length_b 3.770
_cell_length_c 8.806
_cell_angle_alpha 90.00
_cell_angle_beta 90.00
_cell_angle_gamma 90.00
loop_
_atom_site_label
_atom_site_fract_x
_atom_site_fract_y
_atom_site_fract_z
Cd1 0.000 0.000 0.000
Ni1 0.000 0.000 0.500
W1 0.000 0.500 0.250
```

DOS at the Fermi energy = 0.73 states/eV per atom
total moment = 0.00 μB/atom
ρ = 14.30 g/cm3
crystal system = tetragonal
energy of formation = 463 meV/atom
VASP energy = -7.687 eV/atom